P) A plane-wave DFT calculation with PBE was carried out for an optimized crystal structure of Ce2AlRu3.

Cell and atoms, written as POSCAR:
```
Ce2AlRu3
1.0
4.664 -0.135 1.975
1.258 4.493 1.975
-0.183 -0.135 5.062
Al Ru Ce
1 3 2
direct
0.000 0.000 0.000
0.000 0.000 0.500
0.000 0.500 0.000
0.500 0.000 0.000
0.361 0.361 0.361
0.639 0.639 0.639
```

Q) A plane-wave DFT calculation with PBE was carried out for an optimized crystal structure of Ce2AlRu3.

Cell and atoms, written as POSCAR:
```
Ce2AlRu3
1.0
-3.562 -4.112 -1.703
5.594 -0.486 -0.984
0.883 -3.576 6.788
Al Ru Ce
2 6 4
direct
0.000 0.000 0.000
0.000 0.000 0.500
0.169 0.338 0.250
0.338 0.169 0.750
0.831 0.662 0.750
0.169 0.831 0.250
0.662 0.831 0.250
0.831 0.169 0.750
0.333 0.667 0.942
0.667 0.333 0.058
0.333 0.667 0.558
0.667 0.333 0.442
```

Most stable structure: P)

P) A plane-wave DFT calculation with PBE was carried out for an optimized crystal structure of Ce2ScAl.

Cell and atoms, written as POSCAR:
```
Ce2ScAl
1.0
5.255 0.000 0.000
2.627 4.551 0.000
2.627 1.517 4.290
Ce Al Sc
2 1 1
direct
0.250 0.250 0.250
0.750 0.750 0.750
0.000 0.000 0.000
0.500 0.500 0.500
```

Q) A plane-wave DFT calculation with PBE was carried out for an optimized crystal structure of Ce2ScAl.

Cell and atoms, written as POSCAR:
```
Ce2ScAl
1.0
3.136 0.000 0.000
0.000 5.180 1.140
-1.568 -0.372 5.740
Sc Ce Al
1 2 1
direct
0.500 0.500 0.000
0.268 0.234 0.536
0.732 0.766 0.464
0.000 0.000 0.000
```

R) A plane-wave DFT calculation with PBE was carried out for an optimized crystal structure of Ce2ScAl.

Cell and atoms, written as POSCAR:
```
Ce2ScAl
1.0
4.942 0.000 0.000
0.000 4.388 0.000
0.000 0.000 4.388
Al Sc Ce
1 1 2
direct
0.500 0.500 0.500
0.500 0.000 0.000
0.000 0.000 0.500
0.000 0.500 0.000
```

Most stable structure: R)

P) A plane-wave DFT calculation with PBE was carried out for an optimized crystal structure of Ce2ScAl.

Cell and atoms, written as POSCAR:
```
Ce2ScAl
1.0
3.941 0.000 0.000
0.000 3.941 0.000
0.000 0.000 6.673
Al Ce Sc
1 2 1
direct
0.500 0.500 0.000
0.000 0.000 0.213
0.000 0.000 0.787
0.500 0.500 0.500
```

Q) A plane-wave DFT calculation with PBE was carried out for an optimized crystal structure of Ce2ScAl.

Cell and atoms, written as POSCAR:
```
Ce2ScAl
1.0
-2.832 2.171 3.555
-3.836 -5.045 0.025
5.265 0.001 4.194
Ce Al Sc
4 2 2
direct
0.750 0.712 0.874
0.250 0.288 0.126
0.250 0.837 0.125
0.750 0.163 0.875
0.250 0.816 0.633
0.750 0.184 0.367
0.750 0.687 0.373
0.250 0.313 0.627
```

Most stable structure: Q)

P) A plane-wave DFT calculation with PBE was carried out for an optimized crystal structure of CeSc3Al8.

Cell and atoms, written as POSCAR:
```
CeSc3Al8
1.0
-3.902 2.706 2.606
3.719 -2.762 2.807
5.204 7.263 0.251
Al Sc Ce
8 3 1
direct
0.333 0.667 0.498
0.333 0.667 0.005
0.992 0.496 0.757
0.162 0.324 0.245
0.504 0.496 0.757
0.504 0.008 0.757
0.162 0.838 0.245
0.676 0.838 0.245
0.667 0.333 0.066
0.667 0.333 0.428
0.000 0.000 0.931
0.000 0.000 0.566
```

Q) A plane-wave DFT calculation with PBE was carried out for an optimized crystal structure of CeSc3Al8.

Cell and atoms, written as POSCAR:
```
CeSc3Al8
1.0
5.422 0.000 0.000
2.711 4.695 0.000
2.711 1.565 8.925
Al Sc Ce
8 3 1
direct
0.439 0.941 0.181
0.941 0.439 0.181
0.936 0.435 0.693
0.936 0.936 0.693
0.439 0.439 0.181
0.435 0.936 0.693
0.187 0.187 0.439
0.688 0.688 0.936
0.375 0.375 0.874
0.001 0.001 0.998
0.498 0.498 0.506
0.875 0.875 0.376
```

Most stable structure: Q)

P) A plane-wave DFT calculation with PBE was carried out for an optimized crystal structure of CeSc2Al6.

Cell and atoms, written as POSCAR:
```
CeSc2Al6
1.0
-1.096 0.153 -4.154
-3.311 -6.741 -1.599
-7.569 -1.258 -0.274
Al Sc Ce
6 2 1
direct
0.310 0.991 0.390
0.310 0.390 0.991
0.690 0.009 0.610
0.500 0.320 0.680
0.690 0.610 0.009
0.500 0.680 0.320
0.119 0.381 0.381
0.881 0.619 0.619
0.000 0.000 0.000
```

Q) A plane-wave DFT calculation with PBE was carried out for an optimized crystal structure of CeSc2Al6.

Cell and atoms, written as POSCAR:
```
CeSc2Al6
1.0
3.287 0.000 0.000
0.000 6.823 -3.939
0.000 0.000 7.878
Al Ce Sc
6 1 2
direct
0.500 0.662 0.000
0.500 0.000 0.338
0.500 0.338 0.338
0.500 0.000 0.662
0.500 0.662 0.662
0.500 0.338 0.000
0.000 0.000 0.000
0.000 0.333 0.667
0.000 0.667 0.333
```

Most stable structure: Q)

P) A plane-wave DFT calculation with PBE was carried out for an optimized crystal structure of CeScAlTl.

Cell and atoms, written as POSCAR:
```
CeScAlTl
1.0
-0.502 -3.145 -0.804
3.165 -0.294 -0.829
1.917 -2.391 8.159
Tl Sc Al Ce
1 1 1 1
direct
0.000 0.000 0.088
0.500 0.500 0.340
0.000 0.000 0.553
0.500 0.500 0.803
```

Q) A plane-wave DFT calculation with PBE was carried out for an optimized crystal structure of CeScAlTl.

Cell and atoms, written as POSCAR:
```
CeScAlTl
1.0
5.180 0.000 0.000
2.590 4.486 0.000
2.590 1.495 4.229
Tl Al Sc Ce
1 1 1 1
direct
0.000 0.000 0.000
0.500 0.500 0.500
0.750 0.750 0.750
0.250 0.250 0.250
```

Most stable structure: P)